# 1
First-principles (GGA-PBE) data for a relaxed HgP2PbCl crystal, as listed in Alexandria.

Results
**Energy above the most stable polymorph in this dataset**: 118 meV per atom
**Uncorrected formation energy**: 3.7 eV/f.u.
**Total moment**: 3.4 Bohr magnetons per cell

abc: 5.6063 5.6063 5.5197
angles: 90.00 90.00 90.00
Fractional positions:
Hg1 0.0000 0.0000 0.0000
P1 0.0000 0.5000 0.5000
P2 0.5000 0.0000 0.5000
Pb1 0.5000 0.5000 0.5000
Cl1 0.5000 0.5000 0.0000

# 2
First-principles (GGA-PBE) data for a relaxed HoSc2Mn crystal, as listed in Alexandria.

Results
**Energy above the most stable polymorph in this dataset**: 0 meV per atom
**ΔE_f**: 0.09 eV per atom
**Total moment**: 1.2 Bohr magnetons per cell

abc: 3.2080 3.2080 8.5572
angles: 90.00 90.00 90.00
Fractional positions:
Ho1 0.0000 0.0000 0.0000
Sc1 0.5000 0.5000 0.3159
Sc2 0.5000 0.5000 0.6841
Mn1 0.0000 0.0000 0.5000

# 3
First-principles (GGA-PBE) data for a relaxed KGaAsAu crystal, as listed in Alexandria.

Results
**ΔE_f**: -0.26 eV per atom
**Total moment**: 0.0 Bohr magnetons per cell

abc: 4.2157 4.2157 12.3140
angles: 90.00 90.00 90.00
Fractional positions:
K1 0.2500 0.2500 0.2141
K2 0.7500 0.7500 0.7859
Ga1 0.2500 0.7500 0.5000
Ga2 0.7500 0.2500 0.5000
As1 0.2500 0.2500 0.6215
As2 0.7500 0.7500 0.3785
Au1 0.2500 0.7500 0.0000
Au2 0.7500 0.2500 0.0000

# 4
First-principles (GGA-PBE) data for a relaxed LiHgPdCl6 crystal, as listed in Alexandria.

Results
**Uncorrected formation energy**: -6.5 eV/f.u.
**Total moment**: 0.0 Bohr magnetons per cell

abc: 6.3311 6.3311 11.0954
angles: 90.00 90.00 90.00
Fractional positions:
Li1 0.0000 0.0000 0.0000
Li2 0.5000 0.5000 0.5000
Hg1 0.0000 0.0000 0.6760
Hg2 0.5000 0.5000 0.1760
Pd1 0.0000 0.0000 0.3313
Pd2 0.5000 0.5000 0.8313
Cl1 0.1747 0.1747 0.1734
Cl2 0.1811 0.1811 0.4850
Cl3 0.2031 0.2031 0.8379
Cl4 0.2969 0.7031 0.3379
Cl5 0.3189 0.6811 0.9850
Cl6 0.3253 0.6747 0.6734
Cl7 0.6747 0.3253 0.6734
Cl8 0.6811 0.3189 0.9850
Cl9 0.7031 0.2969 0.3379
Cl10 0.7969 0.7969 0.8379
Cl11 0.8189 0.8189 0.4850
Cl12 0.8253 0.8253 0.1734

# 5
First-principles (GGA-PBE) data for a relaxed GaCo2NiH crystal, as listed in Alexandria.

Results
**Energy above the most stable polymorph in this dataset**: 184 meV per atom
**Total moment**: 2.1 Bohr magnetons per cell

abc: 3.5153 3.5153 3.9331
angles: 90.00 90.00 90.00
Fractional positions:
Ga1 0.0000 0.0000 0.0000
Co1 0.0000 0.5000 0.5000
Co2 0.5000 0.0000 0.5000
Ni1 0.5000 0.5000 0.0000
H1 0.0000 0.0000 0.5000

# 6
First-principles (GGA-PBE) data for a relaxed PrGaSn crystal, as listed in Alexandria.

Results
**ΔE_f**: -0.54 eV per atom
**Total moment**: 0.0 Bohr magnetons per cell

abc: 4.4747 4.4109 24.7644
angles: 90.00 90.00 90.00
Fractional positions:
Pr1 0.0000 0.1418 0.0000
Pr2 0.0000 0.6651 0.1463
Pr3 0.0000 0.8263 0.3396
Pr4 0.5000 0.1737 0.8396
Pr5 0.5000 0.3349 0.6463
Pr6 0.5000 0.8582 0.5000
Ga1 0.0000 0.1583 0.2327
Ga2 0.0000 0.3392 0.5489
Ga3 0.0000 0.7536 0.8848
Ga4 0.5000 0.2464 0.3848
Ga5 0.5000 0.6608 0.0489
Ga6 0.5000 0.8417 0.7327
Sn1 0.0000 0.3875 0.4426
Sn2 0.0000 0.5768 0.7768
Sn3 0.0000 0.8396 0.6126
Sn4 0.5000 0.1604 0.1126
Sn5 0.5000 0.4232 0.2768
Sn6 0.5000 0.6125 0.9426

# 7
First-principles (GGA-PBE) data for a relaxed Ac2PmYSe4 crystal, as listed in Alexandria.

Results
**Uncorrected formation energy**: -14.6 eV/f.u.
**Total moment**: 0.0 Bohr magnetons per cell

abc: 7.3328 4.2051 7.6985
angles: 90.00 108.33 90.00
Fractional positions:
Ac1 0.0000 0.0000 0.0000
Ac2 0.5000 0.5000 0.0000
Pm1 0.0000 0.5000 0.5000
Y1 0.5000 0.0000 0.5000
Se1 0.2472 0.0000 0.7275
Se2 0.2637 0.5000 0.2759
Se3 0.7363 0.5000 0.7241
Se4 0.7528 0.0000 0.2725

# 8
First-principles (GGA-PBE) data for a relaxed PrEuDyHg crystal, as listed in Alexandria.

Results
**ΔE_f**: -0.06 eV per atom
**Total moment**: 7.3 Bohr magnetons per cell

abc: 5.5425 5.5425 5.5425
angles: 60.00 60.00 60.00
Fractional positions:
Pr1 0.0000 0.0000 0.0000
Eu1 0.2500 0.2500 0.2500
Dy1 0.5000 0.5000 0.5000
Hg1 0.7500 0.7500 0.7500